# GGA-PBE CsIn3Au6, optimized geometry
# V = 23.702 Å³/atom
# Spin magnetization = 0.00 μB per formula unit
# N(E_F) = 0.39 states/eV/atom
# Formation enthalpy at 0 K = -109.6 meV/atom
# E = -2.98 eV per atom
data_CsIn3Au6
_chemical_formula_sum 'Cs2 In6 Au12'
_cell_length_a 7.2841
_cell_length_b 8.0235
_cell_length_c 9.7398
_cell_angle_alpha 90.00
_cell_angle_beta 123.62
_cell_angle_gamma 90.00
_symmetry_space_group_name_H-M 'P 1 21/c 1'
_symmetry_Int_Tables_number 14
loop_
_symmetry_equiv_pos_as_xyz
'x,y,z'
'-x,-y,-z'
'-x,y+1/2,-z+1/2'
'x,-y+1/2,z+1/2'
loop_
_atom_site_label
_atom_site_type_symbol
_atom_site_fract_x
_atom_site_fract_y
_atom_site_fract_z
Cs1 Cs 0.0000 0.0000 0.0000
In1 In 0.2776 0.1299 0.4481
In2 In 0.5000 0.0000 0.0000
Au1 Au 0.1470 0.0301 0.6758
Au2 Au 0.2231 0.7114 0.8644
Au3 Au 0.4990 0.7167 0.2289



# GGA-PBE YLu2Mg, optimized geometry
# V = 28.708 Å³/atom
# Spin magnetization = 0.00 μB per formula unit
# N(E_F) = 1.98 states/eV/atom
# Formation enthalpy at 0 K = 34.8 meV/atom
# E = -4.24 eV per atom
data_YLu2Mg
_chemical_formula_sum 'Y1 Lu2 Mg1'
_cell_length_a 4.8417
_cell_length_b 4.8417
_cell_length_c 4.8985
_cell_angle_alpha 90.00
_cell_angle_beta 90.00
_cell_angle_gamma 90.00
_symmetry_space_group_name_H-M 'P 4/m m m'
_symmetry_Int_Tables_number 123
_symmetry_space_group_name_Hall '-P 4 2'
loop_
_atom_site_label
_atom_site_type_symbol
_atom_site_fract_x
_atom_site_fract_y
_atom_site_fract_z
Y1 Y 0.0000 0.0000 0.0000
Lu1 Lu 0.0000 0.5000 0.5000
Mg1 Mg 0.5000 0.5000 0.0000



# GGA-PBE Be3Ag, optimized geometry
# V = 10.615 Å³/atom
# Spin magnetization = 0.00 μB per formula unit
# N(E_F) = 0.14 states/eV/atom
# Formation enthalpy at 0 K = 202.0 meV/atom
# E = -3.31 eV per atom
data_Be3Ag
_chemical_formula_sum 'Be12 Ag4'
_cell_length_a 5.5379
_cell_length_b 5.5379
_cell_length_c 5.5379
_cell_angle_alpha 90.00
_cell_angle_beta 90.00
_cell_angle_gamma 90.00
_symmetry_space_group_name_H-M 'F m -3 m'
_symmetry_Int_Tables_number 225
_symmetry_space_group_name_Hall '-F 4 2 3'
loop_
_atom_site_label
_atom_site_type_symbol
_atom_site_fract_x
_atom_site_fract_y
_atom_site_fract_z
Be1 Be 0.0000 0.0000 0.0000
Be2 Be 0.2500 0.2500 0.2500
Ag1 Ag 0.0000 0.0000 0.5000



# GGA-PBE PrTm5Pb4, optimized geometry
# V = 31.675 Å³/atom
# Spin magnetization = 0.00 μB per formula unit
# N(E_F) = 1.06 states/eV/atom
# Formation enthalpy at 0 K = -209.7 meV/atom
# E = -4.41 eV per atom
data_PrTm5Pb4
_chemical_formula_sum 'Pr2 Tm10 Pb8'
_cell_length_a 17.8322
_cell_length_b 4.6095
_cell_length_c 7.8669
_cell_angle_alpha 90.00
_cell_angle_beta 101.57
_cell_angle_gamma 90.00
_symmetry_space_group_name_H-M 'C 1 2/m 1'
_symmetry_Int_Tables_number 12
loop_
_symmetry_equiv_pos_as_xyz
'x,y,z'
'-x,-y,-z'
'-x,y,-z'
'x,-y,z'
'x+1/2,y+1/2,z'
'-x+1/2,-y+1/2,-z'
'-x+1/2,y+1/2,-z'
'x+1/2,-y+1/2,z'
loop_
_atom_site_label
_atom_site_type_symbol
_atom_site_fract_x
_atom_site_fract_y
_atom_site_fract_z
Pr1 Pr 0.0000 0.0000 0.0000
Tm1 Tm 0.0000 0.0000 0.5000
Tm2 Tm 0.1388 0.5000 0.7257
Tm3 Tm 0.2135 0.5000 0.3239
Pb1 Pb 0.0424 0.5000 0.2890
Pb2 Pb 0.1873 0.0000 0.0235



# GGA-PBE ZnGe2Pd, optimized geometry
# V = 17.911 Å³/atom
# Spin magnetization = 0.00 μB per formula unit
# N(E_F) = 0.46 states/eV/atom
# Formation enthalpy at 0 K = -34.5 meV/atom
# E = -3.96 eV per atom
data_ZnGe2Pd
_chemical_formula_sum 'Zn3 Ge6 Pd3'
_cell_length_a 3.0510
_cell_length_b 3.0510
_cell_length_c 26.6612
_cell_angle_alpha 90.00
_cell_angle_beta 90.00
_cell_angle_gamma 120.00
_symmetry_space_group_name_H-M 'R -3 m'
_symmetry_Int_Tables_number 166
_symmetry_space_group_name_Hall '-R 3 2"'
loop_
_atom_site_label
_atom_site_type_symbol
_atom_site_fract_x
_atom_site_fract_y
_atom_site_fract_z
Zn1 Zn 0.0000 0.0000 0.0000
Ge1 Ge 0.0000 0.0000 0.0934
Pd1 Pd 0.0000 0.0000 0.5000



# GGA-PBE AlFe2W, optimized geometry
# V = 13.408 Å³/atom
# Spin magnetization = 3.57 μB per formula unit
# N(E_F) = 1.16 states/eV/atom
# Formation enthalpy at 0 K = 70.2 meV/atom
# E = -8.34 eV per atom
data_AlFe2W
_chemical_formula_sum 'Al2 Fe4 W2'
_cell_length_a 8.5011
_cell_length_b 2.6764
_cell_length_c 4.7564
_cell_angle_alpha 90.00
_cell_angle_beta 97.63
_cell_angle_gamma 90.00
_symmetry_space_group_name_H-M 'C 1 2/m 1'
_symmetry_Int_Tables_number 12
loop_
_symmetry_equiv_pos_as_xyz
'x,y,z'
'-x,-y,-z'
'-x,y,-z'
'x,-y,z'
'x+1/2,y+1/2,z'
'-x+1/2,-y+1/2,-z'
'-x+1/2,y+1/2,-z'
'x+1/2,-y+1/2,z'
loop_
_atom_site_label
_atom_site_type_symbol
_atom_site_fract_x
_atom_site_fract_y
_atom_site_fract_z
Al1 Al 0.0000 0.0000 0.0000
Fe1 Fe 0.2466 0.5000 0.2491
W1 W 0.0000 0.5000 0.5000